# InAgTe2I | the Alexandria database | PBE | relaxed
data_InAgTe2I
_space_group_name_H-M_alt 'P 1'
_space_group_IT_number 1
_cell_length_a 5.692
_cell_length_b 5.692
_cell_length_c 5.986
_cell_angle_alpha 90.00
_cell_angle_beta 90.00
_cell_angle_gamma 90.00
loop_
_space_group_symop_operation_xyz
'x,y,z'
loop_
_atom_site_label
_atom_site_type_symbol
_atom_site_fract_x
_atom_site_fract_y
_atom_site_fract_z
I1 I 0.000 0.000 0.500
Te1 Te 0.000 0.500 0.000
Te2 Te 0.500 0.000 0.000
Ag1 Ag 0.500 0.500 0.500
In1 In 0.000 0.000 0.000
# **Relative energy among the computed polymorphs**: 231 meV per atom
# **Formation energy without anion corrections**: 0.433 eV/atom
# **ρ**: 5.2 Mg/m³